Entry 1:
Compound: Pm5Mg2Tl
Source: the Alexandria database
Functional: GGA-PBE
Structure: relaxed

Structure (extended XYZ):
```
8
Lattice="-3.292 5.843 1.030 -3.929 -4.390 -3.366 1.651 -2.684 6.010" Properties=species:S:1:pos:R:3 pbc="T T T"
Mg -3.143 -3.135 0.674
Pm -1.182 -0.940 2.357
Pm -0.353 -2.280 5.362
Pm -4.792 -0.212 1.186
Tl -3.971 -1.552 4.192
Pm -3.972 -1.789 -2.331
Mg -2.824 1.981 2.872
Pm -2.002 0.640 5.875
```

E above lowest polymorph = 0.0000 eV/atom
DFT total energy = -3.76 eV/atom
Energy of formation from the pure elements = -98 meV per atom

Entry 2:
Compound: Pm5Mg2Tl4
Source: the Alexandria database
Functional: GGA-PBE
Structure: relaxed

Structure (extended XYZ):
```
11
Lattice="3.737 0.000 0.000 0.000 8.636 -0.700 -1.869 -3.498 10.681" Properties=species:S:1:pos:R:3 pbc="T T T"
Pm 1.869 -1.904 7.269
Mg 0.000 0.702 8.693
Tl 0.000 6.046 -0.480
Tl 0.000 0.469 5.846
Mg 1.869 4.436 1.289
Pm 0.000 7.042 2.713
Pm 0.000 2.101 3.103
Tl 1.869 4.669 4.136
Pm 1.869 0.000 0.000
Tl 1.869 -0.908 10.462
Pm 1.869 3.037 6.878
```

DFT total energy = -3.46 eV/atom
Energy of formation from the pure elements = -155 meV per atom

Entry 3:
Compound: Pm2MgTl6
Source: the Alexandria database
Functional: GGA-PBE
Structure: relaxed

Structure (extended XYZ):
```
9
Lattice="-3.136 -1.174 1.403 4.181 -2.862 6.953 -3.218 8.854 0.257" Properties=species:S:1:pos:R:3 pbc="T T T"
Tl -2.727 0.640 3.846
Tl -0.261 -1.481 2.874
Tl 0.555 4.179 4.767
Tl -0.071 -1.177 8.261
Tl -2.101 5.996 0.351
Pm 0.093 0.812 5.601
Pm -2.265 4.007 3.011
Tl 1.307 -2.554 5.481
Mg 0.000 0.000 0.000
```

DFT total energy = -2.92 eV/atom
Energy of formation from the pure elements = -111 meV per atom

Entry 4:
Compound: PmMgTl2
Source: the Alexandria database
Functional: GGA-PBE
Structure: relaxed

Structure (extended XYZ):
```
4
Lattice="5.327 0.000 0.000 2.664 4.613 0.000 2.664 1.538 4.350" Properties=species:S:1:pos:R:3 pbc="T T T"
Mg 7.991 4.613 3.262
Tl 0.000 0.000 0.000
Tl 5.327 3.076 2.175
Pm 2.664 1.538 1.087
```

DFT total energy = -3.01 eV/atom
Energy of formation from the pure elements = -241 meV per atom

Entry 5:
Compound: Pm3Mg5Tl2
Source: the Alexandria database
Functional: GGA-PBE
Structure: relaxed

Structure (extended XYZ):
```
20
Lattice="-1.747 0.542 -6.098 -2.379 -8.967 -3.439 -9.639 2.200 -0.367" Properties=species:S:1:pos:R:3 pbc="T T T"
Tl -5.797 -7.983 -5.695
Mg -9.822 -4.758 -5.917
Tl -7.968 1.758 -4.208
Pm -7.208 -6.605 -8.492
Pm -1.310 0.407 -4.573
Pm -3.737 -5.028 -6.023
Mg -4.815 -1.196 -7.035
Mg -6.446 -3.248 -3.427
Tl -2.078 -6.229 -3.282
Pm -10.027 -1.197 -3.881
Pm -0.437 0.136 -1.524
Mg -7.319 -2.977 -6.476
Mg -6.723 -0.624 -4.776
Mg -7.041 -5.601 -5.127
Mg -10.026 -2.082 -7.282
Tl -11.687 0.004 -6.621
Pm -6.556 0.380 -1.411
Mg -3.942 -1.467 -3.986
Mg -8.949 -5.029 -2.868
Mg -3.738 -4.143 -2.621
```

DFT total energy = -2.77 eV/atom
Energy of formation from the pure elements = -73 meV per atom

Entry 6:
Compound: Pm2MgTl
Source: the Alexandria database
Functional: GGA-PBE
Structure: relaxed

Structure (extended XYZ):
```
4
Lattice="5.040 0.000 0.000 2.520 4.365 0.000 2.520 1.455 6.227" Properties=species:S:1:pos:R:3 pbc="T T T"
Pm 2.520 1.455 1.241
Tl 7.560 4.365 6.119
Pm 2.520 1.455 4.921
Mg 5.040 2.910 3.286
```

E above lowest polymorph = 0.3577 eV/atom
DFT total energy = -3.27 eV/atom
Energy of formation from the pure elements = 97 meV per atom

Entry 7:
Compound: Pm2Mg3Tl
Source: the Alexandria database
Functional: GGA-PBE
Structure: relaxed

Structure (extended XYZ):
```
12
Lattice="-4.129 3.363 -3.275 -2.787 -4.340 3.532 2.882 6.342 6.609" Properties=species:S:1:pos:R:3 pbc="T T T"
Mg -0.148 2.971 7.308
Mg -3.842 3.412 4.619
Pm -1.682 0.757 5.135
Pm -5.195 -0.734 0.193
Tl -0.385 3.908 4.498
Mg -0.814 6.793 3.930
Mg -3.221 -1.428 2.936
Pm -2.353 4.608 1.732
Tl -3.650 1.457 2.369
Pm -1.722 -0.243 0.064
Mg -0.192 1.953 2.248
Mg -3.887 2.394 -0.442
```

E above lowest polymorph = 0.0000 eV/atom
DFT total energy = -2.96 eV/atom
Energy of formation from the pure elements = -183 meV per atom

Entry 8:
Compound: PmMg3Tl
Source: the Alexandria database
Functional: GGA-PBE
Structure: relaxed

Structure (extended XYZ):
```
10
Lattice="3.727 0.000 0.000 0.000 5.066 0.000 0.000 -2.533 14.267" Properties=species:S:1:pos:R:3 pbc="T T T"
Mg 0.000 2.533 6.518
Pm 1.864 0.000 4.723
Mg 0.000 2.533 12.634
Mg 1.864 2.533 1.429
Mg 0.000 0.000 7.750
Tl 0.000 0.000 10.600
Tl 0.000 2.533 3.668
Mg 1.864 0.000 12.838
Mg 0.000 0.000 1.633
Pm 1.864 2.533 9.545
```

DFT total energy = -2.43 eV/atom
Energy of formation from the pure elements = -52 meV per atom

Entry 9:
Compound: PmMgTl2
Source: the Alexandria database
Functional: GGA-PBE
Structure: relaxed

Structure (extended XYZ):
```
4
Lattice="4.864 0.000 0.000 2.432 4.212 0.000 2.432 1.404 5.341" Properties=species:S:1:pos:R:3 pbc="T T T"
Tl 2.432 1.404 1.621
Tl 7.296 4.212 3.720
Pm 0.000 0.000 0.000
Mg 4.864 2.808 2.670
```

DFT total energy = -3.01 eV/atom
Energy of formation from the pure elements = -242 meV per atom

Entry 10:
Compound: Pm3MgTl2
Source: the Alexandria database
Functional: GGA-PBE
Structure: relaxed

Structure (extended XYZ):
```
6
Lattice="3.847 0.000 0.000 0.000 3.847 0.000 0.000 0.000 11.793" Properties=species:S:1:pos:R:3 pbc="T T T"
Tl 1.924 1.924 9.735
Tl 1.924 1.924 2.058
Pm 0.000 0.000 4.005
Pm 0.000 0.000 7.788
Mg 1.924 1.924 5.896
Pm 0.000 0.000 0.000
```

E above lowest polymorph = 0.0124 eV/atom
DFT total energy = -3.72 eV/atom
Energy of formation from the pure elements = -293 meV per atom

Entry 11:
Compound: Pm8Mg3Tl2
Source: the Alexandria database
Functional: GGA-PBE
Structure: relaxed

Structure (extended XYZ):
```
13
Lattice="5.608 0.000 0.773 0.000 8.617 0.000 -1.162 -4.309 8.456" Properties=species:S:1:pos:R:3 pbc="T T T"
Mg 2.804 0.000 0.386
Tl 2.152 4.309 5.098
Mg 0.000 2.849 0.000
Pm 5.162 4.309 3.992
Pm -0.716 0.000 5.237
Pm 1.905 1.748 6.941
Pm 2.541 6.056 2.288
Pm 4.687 4.309 7.472
Pm 1.905 -1.748 6.941
Tl 2.294 0.000 4.131
Pm 2.541 2.561 2.288
Mg 0.000 5.768 0.000
Pm -0.241 0.000 1.757
```

DFT total energy = -3.66 eV/atom
Energy of formation from the pure elements = -6 meV per atom

> What is the energy of formation from the pure elements in the eleventh record?

-6 meV per atom

> The highest energy of formation from the pure elements belongs to which entry?

Pm2MgTl

> The lowest energy of formation from the pure elements belongs to which entry?

Pm3MgTl2

> Look up the energy of formation from the pure elements of the eighth one.

-52 meV per atom